Compound: YAlZn
Source: Alexandria
Functional: PBE-GGA
Structure: relaxed

Output
- ΔE_f: -391 meV per atom
- Space-group type: Imm2, No. 44
- Total energy: -4.217 eV/atom

abc: 4.1503 7.9559 4.1167
angles: 105.00 90.03 74.87
Last column: nearest neighbours and their distance in Å.
Positions (direct):
Y: 0.1463 0.2444 0.8167  6 Al 3.00-3.22, 3 Zn 3.16-3.21
Y: 0.4800 0.5785 0.4838  6 Zn 3.00-3.23, 3 Al 3.17-3.20
Zn: 0.8121 0.9131 0.6511  6 Al 2.70-2.92, 2 Zn 2.72-2.73
Zn: 0.9336 0.6720 0.0302  2 Al 2.72, 2 Zn 2.72-2.73, 4 Y 3.00-3.01
Al: 0.3140 0.9098 0.1495  6 Zn 2.72-2.92, 2 Al 2.73
Al: 0.6933 0.1502 0.2698  2 Zn 2.70-2.71, 2 Al 2.73, 4 Y 3.00-3.01

Compound: Sm2Zn3Ga4Ni
Source: Alexandria
Functional: PBE-GGA
Structure: relaxed

Output
- ΔE_f: -468 meV per atom
- Space-group type: P-4m2, No. 115
- Total energy: -3.583 eV/atom

abc: 4.1996 4.1996 10.4699
angles: 90.00 90.00 90.00
Last column: nearest neighbours and their distance in Å.
Positions (direct):
Sm: 0.5000 0.0000 0.2566  6 Zn 3.21-3.30, 8 Ga 3.22-3.41, 2 Ni 3.30
Sm: 0.0000 0.5000 0.7434  6 Zn 3.21-3.30, 8 Ga 3.22-3.41, 2 Ni 3.30
Zn: 0.0000 0.0000 0.5000  4 Ga 2.47
Zn: 0.5000 0.0000 0.8593  5 Ga 2.46-2.56
Zn: 0.0000 0.5000 0.1407  5 Ga 2.46-2.56
Ga: 0.5000 0.5000 0.0000  4 Zn 2.56
Ga: 0.0000 0.0000 0.0000  4 Zn 2.56
Ga: 0.5000 0.0000 0.6246  3 Zn 2.46-2.47, 2 Ni 2.47
Ga: 0.0000 0.5000 0.3754  3 Zn 2.46-2.47, 2 Ni 2.47
Ni: 0.5000 0.5000 0.5000  4 Ga 2.47

Compound: Cs2K3Rb4Na2
Source: Alexandria
Functional: PBE-GGA
Structure: relaxed

Output
- ΔE_f: 68 meV per atom
- Space-group type: I4/mmm, No. 139
- Total energy: -0.978 eV/atom

abc: 7.5026 7.5026 17.7004
angles: 102.24 102.24 90.00
Last column: nearest neighbours and their distance in Å.
Positions (direct):
Cs: 0.3066 0.3066 0.6132  1 K 4.71, 1 Na 4.91, 4 Rb 5.27
Cs: 0.6934 0.6934 0.3868  1 K 4.71, 1 Na 4.91, 4 Rb 5.27
K: 0.0000 0.0000 0.0000  8 Rb 4.70
K: 0.1670 0.1670 0.3340  4 Rb 4.69, 1 Cs 4.71
K: 0.8330 0.8330 0.6660  4 Rb 4.69, 1 Cs 4.71
Rb: 0.4164 0.9164 0.8327  2 Na 3.94
Rb: 0.9164 0.4164 0.8327  2 Na 3.94
Rb: 0.0836 0.5836 0.1673  2 Na 3.94
Rb: 0.5836 0.0836 0.1673  2 Na 3.94
Na: 0.4520 0.4520 0.9040  1 Na 3.24
Na: 0.5480 0.5480 0.0960  1 Na 3.24